First-principles (PBE) data for an optimized crystal structure of NaSiAs3, as listed in Alexandria via LeMat-Bulk.

Output
energy above the most stable polymorph in this dataset: 1328 meV/atom
formation energy without anion corrections: 1.305 eV per atom

Cell: 4.972 4.972 4.972 Å, 90.00 90.00 90.00°
Space group Pm-3m (No. 221)
Symmetry-distinct sites (fractional):
Na  0.000  0.000  0.000 (multiplicity 1)
Si  0.500  0.500  0.500 (multiplicity 1)
As  0.000  0.000  0.500 (multiplicity 3)